Entry 1:
Below is a relaxed structure of Zr3Ge, with properties calculated at the PBE-GGA level.

a b c (Å): 6.1382 6.1382 5.0460
angles (deg): 90.00 90.00 120.00
Sites, in units of the cell vectors:
Ge  0.0000  0.0000  0.0000
Ge  0.3333  0.6667  0.5000
Zr  0.0080  0.5040  0.0000
Zr  0.4960  0.5040  0.0000
Zr  0.4960  0.9920  0.0000
Zr  0.8374  0.1626  0.5000
Zr  0.3253  0.1626  0.5000
Zr  0.8374  0.6747  0.5000

Values from the calculation:
V (Å³/f.u.): 82.3
E (Ry/atom): -0.5824

Entry 2:
Below is a relaxed structure of KSmZnTe3, with properties calculated at the PBE-GGA level.

a b c (Å): 11.8814 4.4403 15.8472
angles (deg): 90.00 90.00 90.00
Sites, in units of the cell vectors:
K  0.2250  0.7500  0.0017
K  0.7250  0.7500  0.4983
K  0.2750  0.2500  0.5017
K  0.7750  0.2500  0.9983
Sm  0.4829  0.7500  0.2445
Sm  0.9829  0.7500  0.2555
Sm  0.0171  0.2500  0.7445
Sm  0.5171  0.2500  0.7555
Te  0.4153  0.2500  0.1142
Te  0.0477  0.2500  0.1234
Te  0.7356  0.7500  0.1795
Te  0.2356  0.7500  0.3205
Te  0.5477  0.2500  0.3766
Te  0.9153  0.2500  0.3858
Te  0.0847  0.7500  0.6142
Te  0.4523  0.7500  0.6234
Te  0.7644  0.2500  0.6795
Te  0.2644  0.2500  0.8205
Te  0.9523  0.7500  0.8766
Te  0.5847  0.7500  0.8858
Zn  0.2358  0.2500  0.2152
Zn  0.7358  0.2500  0.2848
Zn  0.2642  0.7500  0.7152
Zn  0.7642  0.7500  0.7848

Values from the calculation:
V (Å³/f.u.): 209.0
Polymorph energy (0 for the lowest one) (eV per atom): 0.0000

Entry 3:
Below is a relaxed structure of Ho2AuSe3, with properties calculated at the PBE-GGA level.

a b c (Å): 7.7181 3.9391 18.3665
angles (deg): 90.00 90.00 90.00
Sites, in units of the cell vectors:
Au  0.5672  0.2500  0.1050
Au  0.0672  0.2500  0.3950
Au  0.9328  0.7500  0.6050
Au  0.4328  0.7500  0.8950
Ho  0.7240  0.7500  0.0037
Ho  0.9733  0.7500  0.1978
Ho  0.4733  0.7500  0.3022
Ho  0.2240  0.7500  0.4963
Ho  0.7760  0.2500  0.5037
Ho  0.5267  0.2500  0.6978
Ho  0.0267  0.2500  0.8022
Ho  0.2760  0.2500  0.9963
Se  0.9523  0.2500  0.0812
Se  0.3195  0.7500  0.1059
Se  0.7027  0.2500  0.2396
Se  0.2027  0.2500  0.2604
Se  0.8195  0.7500  0.3941
Se  0.4523  0.2500  0.4188
Se  0.5477  0.7500  0.5812
Se  0.1805  0.2500  0.6059
Se  0.7973  0.7500  0.7396
Se  0.2973  0.7500  0.7604
Se  0.6805  0.2500  0.8941
Se  0.0477  0.7500  0.9188

Values from the calculation:
V (Å³/f.u.): 139.6
Polymorph energy (0 for the lowest one) (eV per atom): 0.0000

Entry 4:
Below is a relaxed structure of Sc2GaTc, with properties calculated at the PBE-GGA level.

a b c (Å): 4.8433 4.8433 7.5951
angles (deg): 90.00 90.00 120.00
Sites, in units of the cell vectors:
Ga  0.0000  0.0000  0.0000
Ga  0.0000  0.0000  0.5000
Sc  0.6667  0.3333  0.0795
Sc  0.6667  0.3333  0.4205
Sc  0.3333  0.6667  0.5795
Sc  0.3333  0.6667  0.9205
Tc  0.3333  0.6667  0.2500
Tc  0.6667  0.3333  0.7500

Values from the calculation:
V (Å³/f.u.): 77.1
E (Ry/atom): -0.4693

Entry 5:
Below is a relaxed structure of Ba3FeS5, with properties calculated at the PBE-GGA level.

a b c (Å): 11.9993 9.6551 8.5505
angles (deg): 90.00 90.00 90.00
Sites, in units of the cell vectors:
Ba  0.1795  0.0184  0.0849
Ba  0.1795  0.4816  0.0849
Ba  0.4813  0.7500  0.0980
Ba  0.9813  0.7500  0.4020
Ba  0.6795  0.0184  0.4151
Ba  0.6795  0.4816  0.4151
Ba  0.3205  0.5184  0.5849
Ba  0.3205  0.9816  0.5849
Ba  0.0187  0.2500  0.5980
Ba  0.5187  0.2500  0.9020
Ba  0.8205  0.5184  0.9151
Ba  0.8205  0.9816  0.9151
Fe  0.9034  0.2500  0.1907
Fe  0.4034  0.2500  0.3093
Fe  0.5966  0.7500  0.6907
Fe  0.0966  0.7500  0.8093
S  0.0013  0.7500  0.0250
S  0.7241  0.2500  0.1388
S  0.7385  0.7500  0.1771
S  0.4438  0.0556  0.1918
S  0.4438  0.4444  0.1918
S  0.9438  0.0556  0.3082
S  0.9438  0.4444  0.3082
S  0.2385  0.7500  0.3229
S  0.2241  0.2500  0.3612
S  0.5013  0.7500  0.4750
S  0.4987  0.2500  0.5250
S  0.7759  0.7500  0.6388
S  0.7615  0.2500  0.6771
S  0.0562  0.5556  0.6918
S  0.0562  0.9444  0.6918
S  0.5562  0.5556  0.8082
S  0.5562  0.9444  0.8082
S  0.2615  0.2500  0.8229
S  0.2759  0.7500  0.8612
S  0.9987  0.2500  0.9750

Values from the calculation:
V (Å³/f.u.): 247.7
E (Ry/atom): -0.3928

Entry 6:
Below is a relaxed structure of TaNiHgB, with properties calculated at the PBE-GGA level.

a b c (Å): 4.2787 4.2787 4.2787
angles (deg): 60.00 60.00 60.00
Sites, in units of the cell vectors:
B  0.0000  0.0000  0.0000
Hg  0.7500  0.7500  0.7500
Ni  0.5000  0.5000  0.5000
Ta  0.2500  0.2500  0.2500

Values from the calculation:
V (Å³/f.u.): 55.4
Polymorph energy (0 for the lowest one) (eV per atom): 0.0000

Entry 7:
Below is a relaxed structure of Tb3HoCo8, with properties calculated at the PBE-GGA level.

a b c (Å): 8.7271 8.7271 8.7271
angles (deg): 33.44 33.44 33.44
Sites, in units of the cell vectors:
Co  0.1882  0.1882  0.1882
Co  0.9368  0.4374  0.4374
Co  0.4374  0.9368  0.4374
Co  0.9375  0.9375  0.4385
Co  0.6868  0.6868  0.6868
Co  0.4374  0.4374  0.9368
Co  0.9375  0.4385  0.9375
Co  0.4385  0.9375  0.9375
Ho  0.8758  0.8758  0.8758
Tb  0.3743  0.3743  0.3743
Tb  0.5008  0.5008  0.5008
Tb  0.9992  0.9992  0.9992

Values from the calculation:
V (Å³/f.u.): 179.7
E (Ry/atom): -0.4744

Entry 8:
Below is a relaxed structure of ZrB4Au, with properties calculated at the PBE-GGA level.

a b c (Å): 3.1299 3.1299 7.4783
angles (deg): 90.00 90.00 120.00
Sites, in units of the cell vectors:
Au  0.0000  0.0000  0.5000
B  0.6667  0.3333  0.2348
B  0.3333  0.6667  0.2348
B  0.6667  0.3333  0.7652
B  0.3333  0.6667  0.7652
Zr  0.0000  0.0000  0.0000

Values from the calculation:
V (Å³/f.u.): 63.4
Polymorph energy (0 for the lowest one) (eV per atom): 0.1206

Entry 9:
Below is a relaxed structure of BeReSnAs, with properties calculated at the PBE-GGA level.

a b c (Å): 4.4923 4.4923 4.4923
angles (deg): 60.00 60.00 60.00
Sites, in units of the cell vectors:
As  0.2500  0.2500  0.2500
Be  0.7500  0.7500  0.7500
Re  0.5000  0.5000  0.5000
Sn  0.0000  0.0000  0.0000

Values from the calculation:
V (Å³/f.u.): 64.1
Polymorph energy (0 for the lowest one) (eV per atom): 0.1152

Entry 10:
Below is a relaxed structure of PrSm2Bi3, with properties calculated at the PBE-GGA level.

a b c (Å): 4.5472 4.5472 11.1825
angles (deg): 90.00 90.00 120.00
Sites, in units of the cell vectors:
Bi  0.0000  0.0000  0.0000
Bi  0.3333  0.6667  0.3289
Bi  0.6667  0.3333  0.6711
Pr  0.0000  0.0000  0.5000
Sm  0.6667  0.3333  0.1644
Sm  0.3333  0.6667  0.8356

Values from the calculation:
V (Å³/f.u.): 200.2
E (Ry/atom): -0.3927

Entry 11:
Below is a relaxed structure of NdGa6, with properties calculated at the PBE-GGA level.

a b c (Å): 6.0566 6.0566 7.6929
angles (deg): 90.00 90.00 90.00
Sites, in units of the cell vectors:
Ga  0.0000  0.0000  0.1610
Ga  0.5000  0.5000  0.1610
Ga  0.3059  0.1941  0.3483
Ga  0.8059  0.3059  0.3483
Ga  0.1941  0.6941  0.3483
Ga  0.6941  0.8059  0.3483
Ga  0.6941  0.1941  0.6517
Ga  0.1941  0.3059  0.6517
Ga  0.8059  0.6941  0.6517
Ga  0.3059  0.8059  0.6517
Ga  0.0000  0.0000  0.8390
Ga  0.5000  0.5000  0.8390
Nd  0.5000  0.0000  0.0000
Nd  0.0000  0.5000  0.0000

Values from the calculation:
V (Å³/f.u.): 141.1
Polymorph energy (0 for the lowest one) (eV per atom): 0.0000

Entry 12:
Below is a relaxed structure of Ho2Al3Tl, with properties calculated at the PBE-GGA level.

a b c (Å): 7.2493 7.2493 4.4359
angles (deg): 90.00 90.00 144.66
Sites, in units of the cell vectors:
Al  0.8187  0.1813  0.5000
Al  0.5000  0.5000  0.5000
Al  0.1813  0.8187  0.5000
Ho  0.6567  0.3433  0.0000
Ho  0.3433  0.6567  0.0000
Tl  0.0000  0.0000  0.0000

Values from the calculation:
V (Å³/f.u.): 134.8
E (Ry/atom): -0.3003

Entry 13:
Below is a relaxed structure of ZnPd2O4, with properties calculated at the PBE-GGA level.

a b c (Å): 6.2612 6.2612 6.2612
angles (deg): 122.99 122.99 84.89
Sites, in units of the cell vectors:
O  0.6216  0.3845  0.2371
O  0.6155  0.8527  0.2371
O  0.1345  0.3973  0.2629
O  0.1284  0.8655  0.2629
O  0.6027  0.8655  0.7371
O  0.1345  0.8716  0.7371
O  0.6155  0.3784  0.7629
O  0.1473  0.3845  0.7629
Pd  0.3750  0.6250  0.2500
Pd  0.8750  0.6250  0.2500
Pd  0.3750  0.1250  0.7500
Pd  0.3750  0.6250  0.7500
Zn  0.0000  0.0000  0.0000
Zn  0.7500  0.2500  0.5000

Values from the calculation:
V (Å³/f.u.): 82.5
E (Ry/atom): -0.3702

Entry 14:
Below is a relaxed structure of Rb2Ag2Cl5, with properties calculated at the PBE-GGA level.

a b c (Å): 5.0522 5.0522 10.5092
angles (deg): 90.00 90.00 90.00
Sites, in units of the cell vectors:
Ag  0.0000  0.0000  0.2425
Ag  0.0000  0.0000  0.7575
Cl  0.5000  0.0000  0.2106
Cl  0.0000  0.5000  0.2106
Cl  0.0000  0.0000  0.5000
Cl  0.5000  0.0000  0.7894
Cl  0.0000  0.5000  0.7894
Rb  0.5000  0.5000  0.0000
Rb  0.5000  0.5000  0.5000

Values from the calculation:
V (Å³/f.u.): 268.2
E (Ry/atom): -0.2202

Entry 15:
Below is a relaxed structure of TbNpMo, with properties calculated at the PBE-GGA level.

a b c (Å): 4.7623 4.7623 4.7623
angles (deg): 60.00 60.00 60.00
Sites, in units of the cell vectors:
Mo  0.0000  0.0000  0.0000
Np  0.2500  0.2500  0.2500
Tb  0.7500  0.7500  0.7500

Values from the calculation:
V (Å³/f.u.): 76.4
Polymorph energy (0 for the lowest one) (eV per atom): 0.0000

Entry 16:
Below is a relaxed structure of FeBAu, with properties calculated at the PBE-GGA level.

a b c (Å): 8.5553 8.5553 8.5553
angles (deg): 158.54 158.54 30.53
Sites, in units of the cell vectors:
Au  0.3335  0.3335  0.0000
Au  0.6665  0.6665  0.0000
B  0.1963  0.1963  0.0000
B  0.8037  0.8037  0.0000
Fe  0.0697  0.0697  0.0000
Fe  0.9303  0.9303  0.0000

Values from the calculation:
V (Å³/f.u.): 41.9
E (Ry/atom): -0.3774

Entry 17:
Below is a relaxed structure of Tm3Bi2Sb, with properties calculated at the PBE-GGA level.

a b c (Å): 4.3793 4.3793 10.7323
angles (deg): 90.00 90.00 120.00
Sites, in units of the cell vectors:
Bi  0.3333  0.6667  0.3315
Bi  0.6667  0.3333  0.6685
Sb  0.0000  0.0000  0.0000
Tm  0.6667  0.3333  0.1615
Tm  0.0000  0.0000  0.5000
Tm  0.3333  0.6667  0.8385

Values from the calculation:
V (Å³/f.u.): 178.2
E (Ry/atom): -0.3793

Entry 18:
Below is a relaxed structure of SmDyB2Pd2N2, with properties calculated at the PBE-GGA level.

a b c (Å): 3.7320 3.7320 7.6438
angles (deg): 90.00 90.00 90.00
Sites, in units of the cell vectors:
B  0.0000  0.0000  0.3271
B  0.5000  0.5000  0.6707
Dy  0.0000  0.0000  0.8377
N  0.0000  0.0000  0.1402
N  0.5000  0.5000  0.8566
Pd  0.5000  0.0000  0.5017
Pd  0.0000  0.5000  0.5017
Sm  0.5000  0.5000  0.1644

Values from the calculation:
V (Å³/f.u.): 106.5
E (Ry/atom): -0.5326

Entry 19:
Below is a relaxed structure of Pm5SiPb3, with properties calculated at the PBE-GGA level.

a b c (Å): 9.6141 9.6141 6.6556
angles (deg): 90.00 90.00 120.00
Sites, in units of the cell vectors:
Pb  0.6098  0.0000  0.2500
Pb  0.3902  0.3902  0.2500
Pb  0.0000  0.6098  0.2500
Pb  0.3902  0.0000  0.7500
Pb  0.0000  0.3902  0.7500
Pb  0.6098  0.6098  0.7500
Pm  0.6667  0.3333  0.0000
Pm  0.3333  0.6667  0.0000
Pm  0.2496  0.0000  0.2500
Pm  0.0000  0.2496  0.2500
Pm  0.7504  0.7504  0.2500
Pm  0.6667  0.3333  0.5000
Pm  0.3333  0.6667  0.5000
Pm  0.7504  0.0000  0.7500
Pm  0.2496  0.2496  0.7500
Pm  0.0000  0.7504  0.7500
Si  0.0000  0.0000  0.0000
Si  0.0000  0.0000  0.5000

Values from the calculation:
V (Å³/f.u.): 266.4
E (Ry/atom): -0.3753

Entry 20:
Below is a relaxed structure of ErBi, with properties calculated at the PBE-GGA level.

a b c (Å): 6.8888 4.5239 4.5239
angles (deg): 120.00 90.00 90.00
Sites, in units of the cell vectors:
Bi  0.2500  0.6667  0.3333
Bi  0.7500  0.3333  0.6667
Er  0.0000  0.0000  0.0000
Er  0.5000  0.0000  0.0000

Values from the calculation:
V (Å³/f.u.): 61.0
E (Ry/atom): -0.3702